An optimized crystal structure of AcPr5Nd2Ho, computed with PBE-GGA.

Geometry as POSCAR:
```
AcPr5Nd2Ho
1.0
9.1109 0.0000 0.0000
0.0000 9.1109 0.0000
-4.5555 -4.5555 7.9822
Ac Pr Nd Ho
2 10 4 2
Direct
0.2500 0.2500 0.5000
0.7500 0.7500 0.5000
0.9294 0.4294 0.2685
0.6608 0.1608 0.7315
0.0706 0.5706 0.7315
0.1608 0.0706 0.7315
0.5706 0.6608 0.7315
0.8392 0.9294 0.2685
0.4294 0.3392 0.2685
0.3392 0.8392 0.2685
0.5000 0.5000 0.0000
0.0000 0.0000 0.0000
0.1163 0.3837 0.0000
0.6163 0.1163 0.0000
0.3837 0.8837 0.0000
0.8837 0.6163 0.0000
0.2500 0.7500 0.5000
0.7500 0.2500 0.5000
```

Output
Formation energy from the elements, eV per atom: 0.254
SG: No. 140
Mass density, g/cm3: 6.9
DFT total energy, eV/atom: -4.426



An optimized crystal structure of CuIrS2, computed with PBE-GGA.

Geometry as POSCAR:
```
CuIrS2
1.0
3.8025 -0.0028 0.0004
0.2605 6.3473 -0.0069
-0.0007 0.0091 5.4580
S Ir Cu
4 2 2
Direct
0.7394 0.4680 0.6048
0.3238 0.9292 0.6138
0.7765 0.0747 0.1044
0.1920 0.6135 0.1140
0.8379 0.7906 0.8225
0.6780 0.7521 0.3226
0.2674 0.2621 0.1020
0.2486 0.2806 0.6020
```

Output
SG: No. 4
Uncorrected formation energy, eV per atom: -0.18
Mass density, g/cm3: 8.1
DFT total energy, eV/atom: -5.486



Number 1: N(E_F) 25.491 states/eV per cell. Number 2: N(E_F) 0.020 states/eV per cell.